The following is a GGA+U calculation of an optimized crystal structure of FeRhI2O, from Alexandria via LeMat-Bulk. Values from VASP.

Geometry as Quantum ESPRESSO input:
```
&SYSTEM
  ibrav = 0, nat = 5, ntyp = 4
/
ATOMIC_SPECIES
Fe 55.84 Fe.upf
Rh 102.91 Rh.upf
I 126.90 I.upf
O 16.00 O.upf
ATOMIC_POSITIONS crystal
Fe 0.000 0.000 0.000
Rh 0.500 0.500 0.500
I 0.000 0.500 0.000
I 0.500 0.000 0.000
O 0.000 0.000 0.500
CELL_PARAMETERS angstrom
5.674 0.000 0.000
0.000 5.674 0.000
0.000 0.000 3.630
```

Energy above the most stable polymorph in this dataset   0.54 eV per formula unit
Total energy   -0.1462 hartree per atom
SG   No. 123